# PBE PaIrRhN, optimized geometry
# - formation energy (no corrections) (eV/f.u.) = -2.62
data_PaIrRhN
_symmetry_space_group_name_H-M 'P 4/n m m'
_symmetry_Int_Tables_number 129
_cell_length_a 3.993
_cell_length_b 3.993
_cell_length_c 7.722
_cell_angle_alpha 90.00
_cell_angle_beta 90.00
_cell_angle_gamma 90.00
loop_
_symmetry_equiv_pos_as_xyz
'x,y,z'
'-x,-y,-z'
'-y+1/2,x,z'
'y+1/2,-x,-z'
'-x+1/2,-y+1/2,z'
'x+1/2,y+1/2,-z'
'y,-x+1/2,z'
'-y,x+1/2,-z'
'x+1/2,-y,-z'
'-x+1/2,y,z'
'-y,-x,-z'
'y,x,z'
'-x,y+1/2,-z'
'x,-y+1/2,z'
'y+1/2,x+1/2,-z'
'-y+1/2,-x+1/2,z'
loop_
_atom_site_label
_atom_site_type_symbol
_atom_site_fract_x
_atom_site_fract_y
_atom_site_fract_z
Pa1 Pa 0.250 0.250 0.159
Ir1 Ir 0.250 0.750 0.500
Rh1 Rh 0.250 0.250 0.724
N1 N 0.250 0.750 0.000